Compound: Na3TmTl4
Source: Alexandria via LeMat-Bulk
Functional: PBE
Structure: optimized geometry

Cell lengths 15.9374, 5.3779, 5.3779 Å; angles 90.00, 109.60, 90.00 degrees
Element x y z (fractional)
1 Na 0.0000 0.0000 0.0000
2 Na 0.2481 0.5000 0.7482
3 Na 0.2519 0.0000 0.2518
4 Na 0.5000 0.5000 0.0000
5 Na 0.7481 0.0000 0.7482
6 Na 0.7519 0.5000 0.2518
7 Tm 0.0000 0.5000 0.5000
8 Tm 0.5000 0.0000 0.5000
9 Tl 0.1205 0.0000 0.6209
10 Tl 0.1205 0.5000 0.1209
11 Tl 0.3795 0.0000 0.8791
12 Tl 0.3795 0.5000 0.3791
13 Tl 0.6205 0.0000 0.1209
14 Tl 0.6205 0.5000 0.6209
15 Tl 0.8795 0.0000 0.3791
16 Tl 0.8795 0.5000 0.8791

Calculated values
ρ in g cm⁻³: 8.1
V in Å³ per cell: 434.2
Energy in eV per atom: -2.3860
DOS at the Fermi energy in states/eV/f.u.: 3.79
Energy of formation from the pure elements in eV/atom: -0.149
Magnetization in μB/cell: 0.00